# Sr2MnIrF, relaxed, DFT PBE+U
data_Sr2MnIrF
_cell_length_a 5.867
_cell_length_b 5.867
_cell_length_c 3.843
_cell_angle_alpha 90.00
_cell_angle_beta 90.00
_cell_angle_gamma 90.00
_symmetry_space_group_name_H-M 'P 4/m m m'
_symmetry_Int_Tables_number 123
_symmetry_space_group_name_Hall '-P 4 2'
loop_
_atom_site_label
_atom_site_type_symbol
_atom_site_fract_x
_atom_site_fract_y
_atom_site_fract_z
Sr1 Sr 0.000 0.500 0.000
Mn1 Mn 0.000 0.000 0.000
Ir1 Ir 0.500 0.500 0.500
F1 F 0.000 0.000 0.500
# Electronic total energy: -4.300 eV/atom
# D(E_F): 3.3 states/eV/cell
# M_tot: 0.77 μB/atom